# 1
The following is a DFT calculation (GGA-PBEsol) of a relaxed GdAsO4 crystal.

Computed properties:
Calculated volume (A^3/atom): 13.53
E_form (uncorrected) (eV/atom): -2.358
Raw total energy (eV per cell): -109.40

```
12
Lattice="-5.8314 -1.1469 0.5714 2.8907 -3.2888 -4.0588 2.4973 -1.2424 5.2789" Properties=species:S:1:pos:R:3 pbc="T T T"
Gd 0.0000 0.0000 0.0000
Gd 1.9589 -3.3745 -0.2618
As -2.4022 -2.3036 2.0533
As -1.4703 -2.2179 -1.7437
O -2.4921 -1.9602 3.7260
O -1.9394 -3.9030 1.6638
O -3.8952 -2.2583 1.2210
O -1.2819 -1.0929 1.6025
O -2.5905 -3.4286 -1.2929
O 0.0227 -2.2632 -0.9113
O 0.5643 -1.8608 3.9247
O 1.1170 -3.8037 1.8625
```

---

# 2
The following is a DFT calculation (GGA-PBEsol) of a relaxed Li2CaC2 crystal.

Computed properties:
Calculated volume (A^3/atom): 10.28
Raw total energy (eV per cell): -41.30

```
10
Lattice="-1.3858 1.9601 -0.0288 -2.8115 -2.0690 -5.5359 -4.5448 -3.1619 3.4899" Properties=species:S:1:pos:R:3 pbc="T T T"
Ca 0.0000 0.0000 0.0000
Ca -3.6781 -2.6155 -1.0230
C -4.2809 -1.5363 1.3646
C -6.3335 -3.0209 -0.9066
C -4.4612 -1.7344 -3.4395
C -2.4086 -0.2499 -1.1682
Li -5.1006 -3.5920 0.9583
Li -5.2841 -3.7762 -2.7482
Li -2.2557 -1.6389 -3.0044
Li -2.0721 -1.4547 0.7021
```